(1)
Crystalline Rb2TiNCl6 at its relaxed geometry. Source: the Alexandria database, functional PBE-GGA.

abc: 7.511 7.511 7.512
angles: 60.00 60.00 90.00
Element x y z (fractional)
Cl (0.778, 0.778, 0.000)
Cl (0.222, 0.778, 0.000)
Cl (0.222, 0.222, 0.000)
Cl (0.222, 0.222, 0.556)
Cl (0.778, 0.778, 0.444)
Cl (0.778, 0.222, 0.000)
Rb (0.250, 0.750, 0.500)
Rb (0.750, 0.250, 0.500)
N (0.500, 0.500, 0.000)
Ti (0.000, 0.000, 0.000)

- electronic total energy (eV/atom) = -4.004
- M_tot (μB per cell) = 3.00
- formation energy (no corrections) (eV per atom) = -1.0803

(2)
Crystalline ZnCd3 at its relaxed geometry. Source: the Alexandria database, functional PBE-GGA.

abc: 4.349 4.349 9.398
angles: 76.62 76.62 90.00
Element x y z (fractional)
Cd (0.874, 0.874, 0.251)
Cd (0.500, 0.000, 0.000)
Cd (0.000, 0.500, 0.000)
Cd (0.750, 0.250, 0.500)
Cd (0.250, 0.750, 0.500)
Cd (0.126, 0.126, 0.749)
Zn (0.624, 0.624, 0.752)
Zn (0.376, 0.376, 0.248)

- electronic total energy (eV/atom) = -0.941
- M_tot (μB per cell) = 0.00

(3)
Crystalline SnBi2Sb at its relaxed geometry. Source: the Alexandria database, functional PBE-GGA.

abc: 4.473 4.473 7.929
angles: 73.62 73.62 60.00
Element x y z (fractional)
Bi (0.750, 0.750, 0.749)
Bi (0.250, 0.250, 0.251)
Sb (0.000, 0.000, 0.000)
Sn (0.500, 0.500, 0.500)

- electronic total energy (eV/atom) = -3.906
- M_tot (μB per cell) = 0.00
- polymorph energy (0 for the lowest one) (meV per atom) = 0
- formation energy (no corrections) (eV per atom) = 0.0662

(4)
Crystalline Sc2OsRu at its relaxed geometry. Source: the Alexandria database, functional PBE-GGA.

abc: 9.586 9.586 9.586
angles: 17.66 17.66 17.66
Element x y z (fractional)
Sc (0.991, 0.991, 0.991)
Sc (0.758, 0.758, 0.758)
Ru (0.244, 0.244, 0.244)
Os (0.506, 0.506, 0.506)

- electronic total energy (eV/atom) = -8.074
- M_tot (μB per cell) = 0.38